Entry from Alexandria via LeMat-Bulk: a geometry-optimized CaBeSi3 structure (GGA-PBE).

Cell: 5.307 5.307 5.307 Å, 90.00 90.00 90.00°
Space group Pm-3m (No. 221)
Symmetry-distinct sites (fractional):
Ca 0.000 0.000 0.000
Be 0.500 0.500 0.500
Si 0.000 0.000 0.500

Computed properties:
E_tot   -2.457 eV/atom
E_form (uncorrected)   1.9421 eV per atom
Magnetization   0.147 μB/atom
Offset from the most stable computed form   788 kJ/mol of formula units